No. 1
Crystalline TlP2Ru at its relaxed geometry. Source: the Alexandria database, functional PBE.

Space-group type = Imm2, No. 44
ΔE to the lowest computed polymorph = 551 meV/atom
Energy relative to the elements = 2.019 eV/f.u.

Unit cell a=5.131 b=5.131 c=5.131 alpha=143.66 beta=117.98 gamma=74.06
Atoms (fractional coordinates):
P  0.960  0.960  0.000
P  0.752  0.252  0.500
Ru  0.542  0.542  0.000
Tl  0.245  0.745  0.500

=====

No. 2
Crystalline AcTbEu2 at its relaxed geometry. Source: the Alexandria database, functional PBE.

Space-group type = Fm-3m, No. 225
ΔE to the lowest computed polymorph = 44 meV/atom
Energy relative to the elements = 0.506 eV/f.u.

Unit cell a=6.066 b=6.066 c=6.066 alpha=60.00 beta=60.00 gamma=60.00
Atoms (fractional coordinates):
Eu  0.250  0.250  0.250
Eu  0.750  0.750  0.750
Ac  0.500  0.500  0.500
Tb  0.000  0.000  0.000

=====

No. 3
Crystalline Ac19La6Sm4 at its relaxed geometry. Source: the Alexandria database, functional PBE.

Space-group type = I23, No. 197
Energy relative to the elements = 8.901 eV/f.u.

Unit cell a=11.768 b=11.768 c=11.768 alpha=109.47 beta=109.47 gamma=109.47
Atoms (fractional coordinates):
Ac  0.736  0.000  0.736
Ac  0.264  0.000  0.264
Ac  0.264  0.264  0.000
Ac  0.736  0.736  0.000
Ac  0.000  0.736  0.736
Ac  0.000  0.264  0.264
Ac  0.000  0.000  0.000
Ac  0.209  0.220  0.555
Ac  0.791  0.346  0.011
Ac  0.665  0.654  0.445
Ac  0.011  0.791  0.346
Ac  0.335  0.780  0.989
Ac  0.555  0.209  0.220
Ac  0.989  0.335  0.780
Ac  0.445  0.665  0.654
Ac  0.780  0.989  0.335
Ac  0.346  0.011  0.791
Ac  0.220  0.555  0.209
Ac  0.654  0.445  0.665
La  0.387  0.500  0.887
La  0.613  0.500  0.113
La  0.113  0.613  0.500
La  0.887  0.387  0.500
La  0.500  0.887  0.387
La  0.500  0.113  0.613
Sm  0.000  0.000  0.648
Sm  0.000  0.648  0.000
Sm  0.352  0.352  0.352
Sm  0.648  0.000  0.000

=====

No. 4
Crystalline Sr6H2Rh at its relaxed geometry. Source: the Alexandria database, functional PBE.

Space-group type = P2_1/c, No. 14
Electronic total energy = -52.44 eV for the cell shown

Unit cell a=6.787 b=7.200 c=12.312 alpha=89.88 beta=90.00 gamma=90.00
Atoms (fractional coordinates):
Sr  0.246  0.169  0.670
Sr  0.249  0.169  0.331
Sr  0.273  0.157  0.000
Sr  0.773  0.343  0.500
Sr  0.749  0.331  0.169
Sr  0.746  0.331  0.830
Sr  0.754  0.831  0.330
Sr  0.751  0.831  0.669
Sr  0.727  0.843  0.000
Sr  0.227  0.657  0.500
Sr  0.251  0.669  0.831
Sr  0.254  0.669  0.170
H  0.501  0.999  0.162
H  0.001  0.501  0.338
H  0.999  0.499  0.662
H  0.499  0.001  0.838
Rh  0.500  0.500  0.000
Rh  0.000  0.000  0.500

=====

No. 5
Crystalline Ta2AlMoH at its relaxed geometry. Source: the Alexandria database, functional PBE.

Space-group type = P4/mmm, No. 123
ΔE to the lowest computed polymorph = 69 meV/atom

Unit cell a=4.027 b=4.027 c=4.315 alpha=90.00 beta=90.00 gamma=90.00
Atoms (fractional coordinates):
H  0.000  0.000  0.000
Mo  0.500  0.500  0.500
Al  0.000  0.000  0.500
Ta  0.000  0.500  0.000
Ta  0.500  0.000  0.000

=====

No. 6
Crystalline ScCdB3 at its relaxed geometry. Source: the Alexandria database, functional PBE.

Space-group type = Pm-3m, No. 221
ΔE to the lowest computed polymorph = 83 meV/atom
Energy relative to the elements = 9.361 eV/f.u.

Unit cell a=4.413 b=4.413 c=4.413 alpha=90.00 beta=90.00 gamma=90.00
Atoms (fractional coordinates):
Sc  0.000  0.000  0.000
B  0.000  0.500  0.000
B  0.000  0.000  0.500
B  0.500  0.000  0.000
Cd  0.500  0.500  0.500

=====

No. 7
Crystalline KAu at its relaxed geometry. Source: the Alexandria database, functional PBE.

Space-group type = I4/m, No. 87
Energy relative to the elements = -0.414 eV/f.u.

Unit cell a=9.387 b=9.387 c=6.373 alpha=90.00 beta=90.00 gamma=90.00
Atoms (fractional coordinates):
K  0.435  0.203  0.000
K  0.565  0.797  0.000
K  0.797  0.435  0.000
K  0.203  0.565  0.000
K  0.935  0.703  0.500
K  0.065  0.297  0.500
K  0.297  0.935  0.500
K  0.703  0.065  0.500
Au  0.208  0.922  0.000
Au  0.792  0.078  0.000
Au  0.078  0.208  0.000
Au  0.922  0.792  0.000
Au  0.708  0.422  0.500
Au  0.292  0.578  0.500
Au  0.578  0.708  0.500
Au  0.422  0.292  0.500

=====

No. 8
Crystalline LaGdTlIn at its relaxed geometry. Source: the Alexandria database, functional PBE.

Space-group type = F-43m, No. 216
Energy relative to the elements = -1.781 eV/f.u.

Unit cell a=5.512 b=5.512 c=5.512 alpha=60.00 beta=60.00 gamma=60.00
Atoms (fractional coordinates):
Tl  0.000  0.000  0.000
Gd  0.250  0.250  0.250
In  0.500  0.500  0.500
La  0.750  0.750  0.750

=====

No. 9
Crystalline CoPb3I at its relaxed geometry. Source: the Alexandria database, functional PBE.

E_form (uncorrected) = 78 meV/atom
Space-group type = Pm-3m, No. 221
ΔE to the lowest computed polymorph = 0 meV/atom

Unit cell a=5.233 b=5.233 c=5.233 alpha=90.00 beta=90.00 gamma=90.00
Atoms (fractional coordinates):
Pb  0.000  0.500  0.000
Pb  0.000  0.000  0.500
Pb  0.500  0.000  0.000
I  0.500  0.500  0.500
Co  0.000  0.000  0.000

=====

No. 10
Crystalline Tl4Ag3Br10 at its relaxed geometry. Source: the Alexandria database, functional PBE.

E_form (uncorrected) = -512 meV/atom
Space-group type = I4/mmm, No. 139

Unit cell a=5.401 b=5.401 c=19.225 alpha=98.07 beta=98.07 gamma=90.00
Atoms (fractional coordinates):
Tl  0.568  0.568  0.135
Tl  0.432  0.432  0.865
Tl  0.300  0.300  0.600
Tl  0.700  0.700  0.400
Ag  0.144  0.144  0.287
Ag  0.856  0.856  0.713
Ag  0.000  0.000  0.000
Br  0.140  0.640  0.281
Br  0.071  0.071  0.143
Br  0.640  0.140  0.281
Br  0.860  0.360  0.719
Br  0.360  0.860  0.719
Br  0.929  0.929  0.857
Br  0.215  0.215  0.430
Br  0.785  0.785  0.570
Br  0.000  0.500  0.000
Br  0.500  0.000  0.000

=====

No. 11
Crystalline Pu2IrPb at its relaxed geometry. Source: the Alexandria database, functional PBE.

Space-group type = R3m, No. 160
ΔE to the lowest computed polymorph = 193 meV/atom
Energy relative to the elements = -0.588 eV/f.u.

Unit cell a=3.903 b=3.903 c=8.655 alpha=76.97 beta=76.97 gamma=60.00
Atoms (fractional coordinates):
Pu  0.065  0.065  0.806
Pu  0.268  0.268  0.196
Ir  0.668  0.668  0.995
Pb  0.499  0.499  0.503

=====

No. 12
Crystalline Tb3YSc2S6 at its relaxed geometry. Source: the Alexandria database, functional PBE.

E_form (uncorrected) = -1950 meV/atom
Space-group type = C2/m, No. 12

Unit cell a=6.667 b=6.667 c=6.683 alpha=99.55 beta=99.55 gamma=120.16
Atoms (fractional coordinates):
Tb  0.163  0.837  0.500
Tb  0.837  0.163  0.500
Tb  0.500  0.500  0.500
Y  0.000  0.000  0.000
Sc  0.334  0.666  0.000
Sc  0.666  0.334  0.000
S  0.920  0.577  0.761
S  0.735  0.735  0.235
S  0.080  0.423  0.239
S  0.577  0.920  0.761
S  0.265  0.265  0.765
S  0.423  0.080  0.239

=====

Please write out number 6 again, unchanged.
Crystalline ScCdB3 at its relaxed geometry. Source: the Alexandria database, functional PBE.

Space-group type = Pm-3m, No. 221
ΔE to the lowest computed polymorph = 83 meV/atom
Energy relative to the elements = 9.361 eV/f.u.

Unit cell a=4.413 b=4.413 c=4.413 alpha=90.00 beta=90.00 gamma=90.00
Atoms (fractional coordinates):
Sc  0.000  0.000  0.000
B  0.000  0.500  0.000
B  0.000  0.000  0.500
B  0.500  0.000  0.000
Cd  0.500  0.500  0.500